[1]
Below is an optimized crystal structure of NaZrP2, with properties calculated at the PBEsol level.

The total magnetization is 0.000 μB per atom. Its energy is -93.6 eV per cell. The calculation puts the formation energy at -0.33 eV/atom.

Cell: 7.056 7.056 6.295 Å, 90.00 90.00 90.00°
Space group I-42d (No. 122)
One atom of each set of equivalent atoms:
Na 0.000 0.000 0.000
Zr 0.000 0.000 0.500
P 0.236 0.250 0.625


[2]
Below is an optimized crystal structure of NaPb, with properties calculated at the PBEsol level.

The total magnetization is 0.000 μB per atom. Its energy is -183.9 eV per cell. The calculation puts the formation energy at -0.17 eV/atom.

Cell: 10.413 10.413 17.669 Å, 90.00 90.00 90.00°
Space group I4_1/acd (No. 142, origin choice 2)
One atom of each set of equivalent atoms:
Na 0.117 0.000 0.250
Na 0.125 0.125 0.625
Pb 0.070 0.117 0.439


[3]
Below is an optimized crystal structure of Na15Pb4, with properties calculated at the PBEsol level.

The total magnetization is 0.000 μB per atom. Its energy is -158.6 eV per cell. The calculation puts the formation energy at -0.14 eV/atom.

Cell: 13.114 13.114 13.114 Å, 90.00 90.00 90.00°
Space group I-43d (No. 220)
One atom of each set of equivalent atoms:
Na 0.000 0.250 0.875
Na 0.038 0.122 0.655
Pb 0.041 0.041 0.041


[4]
Below is an optimized crystal structure of Na2Pd2Pb, with properties calculated at the PBEsol level.

The total magnetization is 0.000 μB per atom. Its energy is -38.6 eV per cell. The calculation puts the formation energy at -0.12 eV/atom.

Cell: 6.851 6.851 4.624 Å, 90.00 90.00 90.00°
Space group P4/mbm (No. 127)
One atom of each set of equivalent atoms:
Na 0.165 0.335 0.000
Pd 0.136 0.636 0.500
Pb 0.000 0.000 0.500


[5]
Below is an optimized crystal structure of NaPd2Pb2, with properties calculated at the PBEsol level.

The total magnetization is 0.000 μB per atom. Its energy is -44.4 eV per cell. The calculation puts the formation energy at -0.18 eV/atom.

Cell: 8.092 8.092 3.230 Å, 90.00 90.00 90.00°
Space group P4/mbm (No. 127)
One atom of each set of equivalent atoms:
Na 0.000 0.000 0.000
Pd 0.145 0.355 0.500
Pb 0.149 0.649 0.000


[6]
Below is an optimized crystal structure of NaPd2Pb2, with properties calculated at the PBEsol level.

The total magnetization is 0.000 μB per atom. Its energy is -44.2 eV per cell. The calculation puts the formation energy at -0.16 eV/atom.

Cell: 4.020 4.020 14.115 Å, 90.00 90.00 90.00°
Space group I4/mmm (No. 139)
One atom of each set of equivalent atoms:
Na 0.000 0.000 0.000
Pd 0.000 0.500 0.250
Pb 0.000 0.000 0.382


- Among the records above, which one has the highest energy?
  Na2Pd2Pb